1.
DFT (PBE) results for crystalline La7PmDy3 at its relaxed geometry.

```
data_La7PmDy3
_chemical_formula_sum 'La7 Pm1 Dy3'
_cell_length_a 7.3132
_cell_length_b 7.3132
_cell_length_c 8.6744
_cell_angle_alpha 90.00
_cell_angle_beta 90.00
_cell_angle_gamma 120.00
_symmetry_space_group_name_H-M 'P 3 m 1'
_symmetry_Int_Tables_number 156
_symmetry_space_group_name_Hall 'P 3 -2"'
loop_
_atom_site_label
_atom_site_type_symbol
_atom_site_fract_x
_atom_site_fract_y
_atom_site_fract_z
_atom_site_occupancy
La1 La 0.0000 0.0000 0.0000 1
La2 La 0.3377 0.1688 0.6670 1
La3 La 0.5021 0.0042 0.0305 1
Pm1 Pm 0.3333 0.6667 0.6928 1
Dy1 Dy 0.1669 0.3338 0.3488 1
```

2.
DFT (PBE) results for crystalline La2Pm4Dy5 at its relaxed geometry.

```
data_La2Pm4Dy5
_chemical_formula_sum 'La4 Pm8 Dy10'
_cell_length_a 23.533
_cell_length_b 3.653
_cell_length_c 9.387
_cell_angle_alpha 90.00
_cell_angle_beta 111.15
_cell_angle_gamma 90.00
_symmetry_space_group_name_H-M 'C 1 2/m 1'
_symmetry_Int_Tables_number 12
_symmetry_space_group_name_Hall '-C 2y'
loop_
_atom_site_label
_atom_site_type_symbol
_atom_site_fract_x
_atom_site_fract_y
_atom_site_fract_z
_atom_site_occupancy
La1 La 0.111 0.000 0.135 1
Pm1 Pm 0.014 0.500 0.820 1
Pm2 Pm 0.177 0.500 0.876 1
Dy1 Dy 0.000 0.000 0.500 1
Dy2 Dy 0.124 0.500 0.477 1
Dy3 Dy 0.245 0.500 0.331 1
```

3.
DFT (PBE) results for crystalline LaPm4Dy2 at its relaxed geometry.

```
data_LaPm4Dy2
_chemical_formula_sum 'La2 Pm8 Dy4'
_cell_length_a 5.702
_cell_length_b 5.702
_cell_length_c 16.846
_cell_angle_alpha 90.00
_cell_angle_beta 90.00
_cell_angle_gamma 90.00
_symmetry_space_group_name_H-M 'I 4/m m m'
_symmetry_Int_Tables_number 139
_symmetry_space_group_name_Hall '-I 4 2'
loop_
_atom_site_label
_atom_site_type_symbol
_atom_site_fract_x
_atom_site_fract_y
_atom_site_fract_z
_atom_site_occupancy
La1 La 0.000 0.000 0.000 1
Pm1 Pm 0.000 0.000 0.183 1
Pm2 Pm 0.000 0.500 0.000 1
Dy1 Dy 0.000 0.000 0.389 1
```

4.
DFT (PBE) results for crystalline La2PmDy4 at its relaxed geometry.

```
data_La2PmDy4
_chemical_formula_sum 'La4 Pm2 Dy8'
_cell_length_a 4.625
_cell_length_b 4.625
_cell_length_c 22.718
_cell_angle_alpha 90.00
_cell_angle_beta 90.00
_cell_angle_gamma 90.00
_symmetry_space_group_name_H-M 'I 4/m m m'
_symmetry_Int_Tables_number 139
_symmetry_space_group_name_Hall '-I 4 2'
loop_
_atom_site_label
_atom_site_type_symbol
_atom_site_fract_x
_atom_site_fract_y
_atom_site_fract_z
_atom_site_occupancy
La1 La 0.000 0.000 0.099 1
Pm1 Pm 0.000 0.000 0.500 1
Dy1 Dy 0.000 0.000 0.360 1
Dy2 Dy 0.000 0.500 0.250 1
```

The records above give, respectively, distance to the lowest polymorph of the same formula values of 0; 0; 590; 0 meV/atom.
The records above give, respectively, energy of formation from the pure elements values of 0.173; 0.091; 0.633; 0.242 eV per atom.